[1]
Compound: CaPdBr2O
Source: Alexandria
Functional: PBE
Structure: relaxed

Unit cell a=5.6103 b=5.6103 c=3.7887 alpha=90.00 beta=90.00 gamma=90.00
Element x y z (fractional)
Ca 0.0000 0.0000 0.0000
Pd 0.5000 0.5000 0.0000
Br 0.0000 0.5000 0.5000
Br 0.5000 0.0000 0.5000
O 0.5000 0.5000 0.5000

## Properties
Total DFT energy (no corrections) = -18.30 eV for the cell shown
Formation energy from raw total energies = -0.560 eV/atom
SG = P4/mmm (123)
Crystal system = tetragonal

[2]
Compound: PuScCd4
Source: Alexandria
Functional: PBE
Structure: relaxed

Unit cell a=3.1152 b=5.0244 c=8.8087 alpha=90.00 beta=90.00 gamma=90.00
Element x y z (fractional)
Pu 0.0000 0.0000 0.0000
Sc 0.0000 0.5000 0.5000
Cd 0.5000 0.0000 0.3408
Cd 0.5000 0.0000 0.6592
Cd 0.5000 0.5000 0.1762
Cd 0.5000 0.5000 0.8238

## Properties
Total DFT energy (no corrections) = -25.31 eV for the cell shown
Offset from the most stable computed form = 0.0 meV/atom
SG = Pmmm (47)
Crystal system = orthorhombic
ΔE_f = -164 meV per atom

[3]
Compound: NaSrZnCd
Source: Alexandria
Functional: PBE
Structure: relaxed

Unit cell a=7.7349 b=7.7349 c=7.7349 alpha=90.00 beta=90.00 gamma=90.00
Element x y z (fractional)
Na 0.0000 0.0000 0.0000
Na 0.0000 0.5000 0.5000
Na 0.5000 0.0000 0.5000
Na 0.5000 0.5000 0.0000
Sr 0.0000 0.0000 0.5000
Sr 0.0000 0.5000 0.0000
Sr 0.5000 0.0000 0.0000
Sr 0.5000 0.5000 0.5000
Zn 0.2500 0.2500 0.2500
Zn 0.2500 0.7500 0.7500
Zn 0.7500 0.2500 0.7500
Zn 0.7500 0.7500 0.2500
Cd 0.2500 0.2500 0.7500
Cd 0.2500 0.7500 0.2500
Cd 0.7500 0.2500 0.2500
Cd 0.7500 0.7500 0.7500

## Properties
Total DFT energy (no corrections) = -22.14 eV for the cell shown
SG = F-43m (216)
Crystal system = cubic
ΔE_f = -86 meV per atom

[4]
Compound: NaCoOs
Source: Alexandria
Functional: PBE
Structure: relaxed

Unit cell a=9.5402 b=3.9868 c=6.7128 alpha=90.00 beta=130.54 gamma=90.00
Element x y z (fractional)
Na 0.2383 0.0000 0.1336
Na 0.2617 0.5000 0.8664
Na 0.7383 0.5000 0.1336
Na 0.7617 0.0000 0.8664
Co 0.0823 0.5000 0.2423
Co 0.4177 0.0000 0.7577
Co 0.5823 0.0000 0.2423
Co 0.9177 0.5000 0.7577
Os 0.0980 0.0000 0.4451
Os 0.4020 0.5000 0.5549
Os 0.5980 0.5000 0.4451
Os 0.9020 0.0000 0.5549

## Properties
Total DFT energy (no corrections) = -71.53 eV for the cell shown
Offset from the most stable computed form = 158.0 meV/atom
SG = C2/m (12)
Crystal system = monoclinic
ΔE_f = 591 meV per atom

[5]
Compound: SmCu4Ge4
Source: Alexandria
Functional: PBE
Structure: relaxed

Unit cell a=6.2805 b=6.2805 c=7.9392 alpha=90.00 beta=90.00 gamma=90.00
Element x y z (fractional)
Sm 0.2500 0.7500 0.2500
Sm 0.7500 0.2500 0.7500
Cu 0.0542 0.2500 0.1050
Cu 0.2500 0.0542 0.6050
Cu 0.2500 0.4458 0.6050
Cu 0.4458 0.2500 0.1050
Cu 0.5542 0.7500 0.8950
Cu 0.7500 0.5542 0.3950
Cu 0.7500 0.9458 0.3950
Cu 0.9458 0.7500 0.8950
Ge 0.0056 0.2500 0.4065
Ge 0.2500 0.0056 0.9065
Ge 0.2500 0.4944 0.9065
Ge 0.4944 0.2500 0.4065
Ge 0.5056 0.7500 0.5935
Ge 0.7500 0.5056 0.0935
Ge 0.7500 0.9944 0.0935
Ge 0.9944 0.7500 0.5935

## Properties
Total DFT energy (no corrections) = -81.16 eV for the cell shown
SG = P4_2/nmc (137)
Crystal system = tetragonal
ΔE_f = -112 meV per atom

[6]
Compound: Nd4CoRuCl2
Source: Alexandria
Functional: PBE
Structure: relaxed

Unit cell a=6.9077 b=3.9911 c=7.9804 alpha=90.00 beta=106.84 gamma=90.00
Element x y z (fractional)
Nd 0.2316 0.0000 0.2025
Nd 0.2605 0.5000 0.7930
Nd 0.7395 0.5000 0.2070
Nd 0.7684 0.0000 0.7975
Co 0.0000 0.5000 0.0000
Ru 0.5000 0.0000 0.0000
Cl 0.0000 0.0000 0.5000
Cl 0.5000 0.5000 0.5000

## Properties
Total DFT energy (no corrections) = -45.91 eV for the cell shown
Formation energy from raw total energies = -0.845 eV/atom
SG = P2/m (10)
Crystal system = monoclinic

[7]
Compound: Co2CuBr8
Source: Alexandria
Functional: PBE
Structure: relaxed

Unit cell a=7.8657 b=7.8657 c=6.7936 alpha=90.64 beta=90.64 gamma=85.71
Element x y z (fractional)
Co 0.2147 0.2147 0.3555
Co 0.7853 0.7853 0.6445
Cu 0.0000 0.0000 0.5000
Br 0.0721 0.7327 0.7323
Br 0.1918 0.1918 0.6994
Br 0.2673 0.9279 0.2677
Br 0.3999 0.3999 0.2481
Br 0.6001 0.6001 0.7519
Br 0.7327 0.0721 0.7323
Br 0.8082 0.8082 0.3006
Br 0.9279 0.2673 0.2677

## Properties
Total DFT energy (no corrections) = -34.08 eV for the cell shown
Formation energy from raw total energies = -0.217 eV/atom
SG = C2/m (12)
Crystal system = monoclinic

[8]
Compound: DyEr3Mg3
Source: Alexandria
Functional: PBE
Structure: relaxed

Unit cell a=9.0563 b=5.4744 c=9.0598 alpha=90.00 beta=119.97 gamma=90.00
Element x y z (fractional)
Dy 0.1671 0.2500 0.3333
Dy 0.8329 0.7500 0.6667
Er 0.2584 0.7500 0.8021
Er 0.3021 0.2500 0.0432
Er 0.4566 0.2500 0.7586
Er 0.5434 0.7500 0.2414
Er 0.6979 0.7500 0.9568
Er 0.7416 0.2500 0.1979
Mg 0.0211 0.2500 0.6157
Mg 0.1157 0.7500 0.0945
Mg 0.4054 0.7500 0.5213
Mg 0.5946 0.2500 0.4787
Mg 0.8843 0.2500 0.9055
Mg 0.9789 0.7500 0.3843

## Properties
Total DFT energy (no corrections) = -46.02 eV for the cell shown
SG = P2_1/m (11)
Crystal system = monoclinic
ΔE_f = 9 meV per atom

[9]
Compound: Tm3Ga4Hg
Source: Alexandria
Functional: PBE
Structure: relaxed

Unit cell a=3.4827 b=6.3043 c=16.7586 alpha=90.00 beta=90.00 gamma=90.00
Element x y z (fractional)
Tm 0.0000 0.0000 0.0000
Tm 0.0000 0.5000 0.2150
Tm 0.0000 0.5000 0.7850
Tm 0.5000 0.0000 0.2850
Tm 0.5000 0.0000 0.7150
Tm 0.5000 0.5000 0.5000
Ga 0.0000 0.2915 0.3750
Ga 0.0000 0.2915 0.6250
Ga 0.0000 0.7085 0.3750
Ga 0.0000 0.7085 0.6250
Ga 0.5000 0.2085 0.1250
Ga 0.5000 0.2085 0.8750
Ga 0.5000 0.7915 0.1250
Ga 0.5000 0.7915 0.8750
Hg 0.0000 0.0000 0.5000
Hg 0.5000 0.5000 0.0000

## Properties
Total DFT energy (no corrections) = -57.33 eV for the cell shown
SG = Immm (71)
Crystal system = orthorhombic
ΔE_f = -355 meV per atom

[10]
Compound: Cs3Tl7Pt4
Source: Alexandria
Functional: PBE
Structure: relaxed

Unit cell a=10.2072 b=10.2072 c=11.1710 alpha=116.46 beta=116.46 gamma=25.82
Element x y z (fractional)
Cs 0.0000 0.0000 0.0000
Cs 0.3056 0.3056 0.3629
Cs 0.6944 0.6944 0.6371
Tl 0.0000 0.0000 0.5000
Tl 0.1816 0.1816 0.9115
Tl 0.3616 0.3616 0.7338
Tl 0.4658 0.4658 0.2493
Tl 0.5342 0.5342 0.7507
Tl 0.6384 0.6384 0.2662
Tl 0.8184 0.8184 0.0885
Pt 0.0732 0.0732 0.3350
Pt 0.3414 0.3414 0.9668
Pt 0.6586 0.6586 0.0332
Pt 0.9268 0.9268 0.6650

## Properties
Total DFT energy (no corrections) = -44.42 eV for the cell shown
SG = C2/m (12)
Crystal system = monoclinic
ΔE_f = -81 meV per atom

[11]
Compound: MoPRh2
Source: Alexandria
Functional: PBE
Structure: relaxed

Unit cell a=2.8736 b=4.3841 c=8.9211 alpha=90.00 beta=90.00 gamma=90.00
Element x y z (fractional)
Mo 0.0000 0.0000 0.0000
Mo 0.5000 0.5000 0.5000
P 0.0000 0.5000 0.2794
P 0.5000 0.0000 0.7794
Rh 0.0000 0.0000 0.5762
Rh 0.0000 0.5000 0.7809
Rh 0.5000 0.0000 0.2809
Rh 0.5000 0.5000 0.0762

## Properties
Total DFT energy (no corrections) = -64.49 eV for the cell shown
SG = Imm2 (44)
Crystal system = orthorhombic
ΔE_f = -325 meV per atom

[12]
Compound: In13Bi3
Source: Alexandria
Functional: PBE
Structure: relaxed

Unit cell a=9.8229 b=6.8165 c=6.8165 alpha=89.93 beta=90.00 gamma=90.00
Element x y z (fractional)
In 0.0000 0.0000 0.0000
In 0.0000 0.0037 0.5148
In 0.0000 0.5148 0.0037
In 0.0000 0.5191 0.5191
In 0.2508 0.2609 0.7547
In 0.2508 0.7547 0.2609
In 0.2603 0.7587 0.7587
In 0.5000 0.0097 0.5134
In 0.5000 0.5005 0.5005
In 0.5000 0.5134 0.0097
In 0.7397 0.7587 0.7587
In 0.7492 0.2609 0.7547
In 0.7492 0.7547 0.2609
Bi 0.2373 0.2541 0.2541
Bi 0.5000 0.0235 0.0235
Bi 0.7627 0.2541 0.2541

## Properties
Total DFT energy (no corrections) = -46.95 eV for the cell shown
SG = Amm2 (38)
Crystal system = orthorhombic
ΔE_f = 18 meV per atom

| no. | theoretical density (kg/m³) |
| --- | --- |
| 1 | 4488 |
| 2 | 8896 |
| 3 | 4140 |
| 4 | 9317 |
| 5 | 7372 |
| 6 | 6371 |
| 7 | 3252 |
| 8 | 6292 |
| 9 | 8902 |
| 10 | 9611 |
| 11 | 9832 |
| 12 | 7711 |